First-principles (PBE) data for DyAgSeS after structural relaxation, as listed in Alexandria.

The calculation puts the formation energy (no corrections) at -1.2430 eV per atom. As for the space group: R-3m, No. 166. The total energy is -5.0094 eV/atom. The size of the total moment comes out at 0.00 Bohr magnetons per cell.

Cell: 11.3942 11.3942 11.3942 Å, 22.39 22.39 22.39°
Closest atoms and distances in Å follow each position.
Sites, in units of the cell vectors:
Dy  0.1122  0.1122  0.1122  4 S 2.68-2.82
Dy  0.8878  0.8878  0.8878  4 S 2.68-2.82
Ag  0.3087  0.3087  0.3087  4 Se 2.77-2.79, 3 Ag 3.03
Ag  0.6913  0.6913  0.6913  4 Se 2.77-2.79, 3 Ag 3.03
Se  0.3918  0.3918  0.3918  4 Ag 2.77-2.79
Se  0.6082  0.6082  0.6082  4 Ag 2.77-2.79
S  0.1969  0.1969  0.1969  4 Dy 2.68-2.82
S  0.8031  0.8031  0.8031  4 Dy 2.68-2.82

---

First-principles (PBE) data for Pu2H5Ru2 after structural relaxation, as listed in Alexandria.

As for the space group: C2/m, No. 12. The total energy is -7.3579 eV/atom. The size of the total moment comes out at 20.49 Bohr magnetons per cell.

Cell: 8.2437 8.2437 5.0658 Å, 107.80 107.80 35.66°
Closest atoms and distances in Å follow each position.
Sites, in units of the cell vectors:
Pu  0.1314  0.1314  0.1252  10 H 2.49-2.66
Pu  0.3687  0.3687  0.3620  10 H 2.49-2.66
Pu  0.6313  0.6313  0.6380  10 H 2.49-2.66
Pu  0.8686  0.8686  0.8748  10 H 2.49-2.66
H  0.0000  0.5000  0.0000  2 Ru 1.94
H  0.1238  0.1238  0.6084  2 Ru 1.84-1.88
H  0.2502  0.7501  0.2502  2 Ru 1.79
H  0.2499  0.7498  0.7498  2 Ru 1.79
H  0.3762  0.3762  0.8607  2 Ru 1.84-1.88
H  0.5000  0.0000  0.0000  2 Ru 1.94
H  0.6238  0.6238  0.1393  2 Ru 1.84-1.88
H  0.7501  0.2502  0.2502  2 Ru 1.79
H  0.7498  0.2499  0.7498  2 Ru 1.79
H  0.8762  0.8762  0.3916  2 Ru 1.84-1.88
Ru  0.0000  0.0000  0.5000  6 H 1.79-1.84
Ru  0.2500  0.2500  0.7101  4 H 1.88-1.94
Ru  0.5000  0.5000  0.0000  6 H 1.79-1.84
Ru  0.7500  0.7500  0.2899  4 H 1.88-1.94

---

First-principles (PBE) data for GaTcW3 after structural relaxation, as listed in Alexandria.

As for the space group: Pm-3m, No. 221. The value obtained for the excess energy over the best structure of this formula in the dataset is 0 kJ/mol of formula units. The total energy is -8.5391 eV/atom. The formation energy comes out at 1.91 eV per atom. The size of the total moment comes out at 0.00 Bohr magnetons per cell.

Cell: 4.7144 4.7144 4.7144 Å, 90.00 90.00 90.00°
Closest atoms and distances in Å follow each position.
Sites, in units of the cell vectors:
Ga  0.0000  0.0000  0.0000  12 W 3.33
Tc  0.5000  0.5000  0.5000  6 W 2.36
W  0.0000  0.5000  0.5000  2 Tc 2.36
W  0.5000  0.0000  0.5000  2 Tc 2.36
W  0.5000  0.5000  0.0000  2 Tc 2.36

---

First-principles (PBE) data for NdMgInSn after structural relaxation, as listed in Alexandria.

As for the space group: Pmmm, No. 47. The value obtained for the excess energy over the best structure of this formula in the dataset is 0 kJ/mol of formula units. The total energy is -3.7744 eV/atom. The formation energy comes out at -0.50 eV per atom. The size of the total moment comes out at 0.00 Bohr magnetons per cell.

Cell: 4.5486 4.7037 4.8144 Å, 90.00 90.00 90.00°
Closest atoms and distances in Å follow each position.
Sites, in units of the cell vectors:
Nd  0.0000  0.0000  0.0000  4 Sn 3.27, 4 In 3.31, 4 Mg 3.37
Mg  0.0000  0.5000  0.5000  4 In 3.27, 4 Sn 3.31, 4 Nd 3.37
In  0.5000  0.0000  0.5000  4 Mg 3.27, 4 Nd 3.31, 4 Sn 3.37
Sn  0.5000  0.5000  0.0000  4 Nd 3.27, 4 Mg 3.31, 4 In 3.37

---

First-principles (PBE) data for BaCrRh2 after structural relaxation, as listed in Alexandria.

As for the space group: P4/mmm, No. 123. The value obtained for the excess energy over the best structure of this formula in the dataset is 175 kJ/mol of formula units. The total energy is -6.0241 eV/atom. The formation energy comes out at 0.54 eV per atom. The size of the total moment comes out at 3.83 Bohr magnetons per cell.

Cell: 4.5433 4.5433 3.8780 Å, 90.00 90.00 90.00°
Closest atoms and distances in Å follow each position.
Sites, in units of the cell vectors:
Ba  0.0000  0.0000  0.0000  8 Rh 2.99, 4 Cr 3.21
Cr  0.5000  0.5000  0.0000  8 Rh 2.99, 4 Ba 3.21
Rh  0.0000  0.5000  0.5000  4 Cr 2.99, 4 Ba 2.99, 4 Rh 3.21
Rh  0.5000  0.0000  0.5000  4 Cr 2.99, 4 Ba 2.99, 4 Rh 3.21

---

First-principles (PBE) data for Sm2CdHg2Pd5 after structural relaxation, as listed in Alexandria.

As for the space group: P4/mbm, No. 127. The total energy is -4.1519 eV/atom. The formation energy comes out at -0.46 eV per atom. The size of the total moment comes out at 0.00 Bohr magnetons per cell.

Cell: 10.1982 10.1982 3.9549 Å, 90.00 90.00 90.00°
Closest atoms and distances in Å follow each position.
Sites, in units of the cell vectors:
Sm  0.1683  0.3317  0.0000  3 Hg 2.90-3.07, 6 Pd 3.13-3.18
Sm  0.3317  0.8317  0.0000  3 Hg 2.90-3.07, 6 Pd 3.13-3.18
Sm  0.6683  0.1683  0.0000  3 Hg 2.90-3.07, 6 Pd 3.13-3.18
Sm  0.8317  0.6683  0.0000  3 Hg 2.90-3.07, 6 Pd 3.13-3.18
Cd  0.0000  0.0000  0.0000  8 Pd 2.87
Cd  0.5000  0.5000  0.0000  8 Pd 2.87
Hg  0.1306  0.6306  0.0000  6 Pd 2.73-2.79, 1 Sm 2.90
Hg  0.3694  0.1306  0.0000  6 Pd 2.73-2.79, 1 Sm 2.90
Hg  0.6306  0.8694  0.0000  6 Pd 2.73-2.79, 1 Sm 2.90
Hg  0.8694  0.3694  0.0000  6 Pd 2.73-2.79, 1 Sm 2.90
Pd  0.0000  0.5000  0.5000  4 Hg 2.73
Pd  0.0379  0.7995  0.5000  2 Hg 2.79, 2 Cd 2.87, 3 Pd 2.94-3.08
Pd  0.2005  0.0379  0.5000  2 Hg 2.79, 2 Cd 2.87, 3 Pd 2.94-3.08
Pd  0.2995  0.5379  0.5000  2 Hg 2.79, 2 Cd 2.87, 3 Pd 2.94-3.08
Pd  0.4621  0.2995  0.5000  2 Hg 2.79, 2 Cd 2.87, 3 Pd 2.94-3.08
Pd  0.5000  0.0000  0.5000  4 Hg 2.73
Pd  0.5379  0.7005  0.5000  2 Hg 2.79, 2 Cd 2.87, 3 Pd 2.94-3.08
Pd  0.7005  0.4621  0.5000  2 Hg 2.79, 2 Cd 2.87, 3 Pd 2.94-3.08
Pd  0.7995  0.9621  0.5000  2 Hg 2.79, 2 Cd 2.87, 3 Pd 2.94-3.08
Pd  0.9621  0.2005  0.5000  2 Hg 2.79, 2 Cd 2.87, 3 Pd 2.94-3.08

---

First-principles (PBE) data for BaLiCa2Au after structural relaxation, as listed in Alexandria.

As for the space group: P4/mmm, No. 123. The value obtained for the excess energy over the best structure of this formula in the dataset is 0 kJ/mol of formula units. The total energy is -2.4781 eV/atom. The formation energy comes out at -0.25 eV per atom. The size of the total moment comes out at 0.00 Bohr magnetons per cell.

Cell: 5.8177 5.8177 5.4262 Å, 90.00 90.00 90.00°
Closest atoms and distances in Å follow each position.
Sites, in units of the cell vectors:
Ba  0.0000  0.0000  0.0000  8 Ca 3.98, 4 Li 4.11
Li  0.5000  0.5000  0.0000  2 Au 2.71
Ca  0.0000  0.5000  0.5000  2 Au 2.91
Ca  0.5000  0.0000  0.5000  2 Au 2.91
Au  0.5000  0.5000  0.5000  2 Li 2.71, 4 Ca 2.91

---

First-principles (PBE) data for DySc4Cd after structural relaxation, as listed in Alexandria.

As for the space group: P4/mmm, No. 123. The value obtained for the excess energy over the best structure of this formula in the dataset is 0 kJ/mol of formula units. The total energy is -5.2036 eV/atom. The formation energy comes out at -0.06 eV per atom. The size of the total moment comes out at 0.00 Bohr magnetons per cell.

Cell: 3.3381 3.3381 13.3914 Å, 90.00 90.00 90.00°
Closest atoms and distances in Å follow each position.
Sites, in units of the cell vectors:
Dy  0.0000  0.0000  0.0000  4 Dy 3.34, 8 Sc 3.39
Sc  0.0000  0.0000  0.3489  4 Cd 3.11, 8 Sc 3.26-3.34
Sc  0.0000  0.0000  0.6511  4 Cd 3.11, 8 Sc 3.26-3.34
Sc  0.5000  0.5000  0.1814  8 Sc 3.26-3.34, 4 Dy 3.39
Sc  0.5000  0.5000  0.8186  8 Sc 3.26-3.34, 4 Dy 3.39
Cd  0.5000  0.5000  0.5000  8 Sc 3.11, 4 Cd 3.34

---

- size of the total moment of number 8 (DySc4Cd)?
  0.00 Bohr magnetons per cell

---

- size of the total moment of number 8 (DySc4Cd)?
  0.00 Bohr magnetons per cell